No. 1
Material: NaInAs3
Method: DFT, PBEsol
State: relaxed

The energy relative to the elements comes out at 594.2 meV/atom. The theoretical density comes out at 4.21 g/cm³.

The structure belongs to space group Pm-3m (No. 221); the cell edges are 5.231, 5.231 and 5.231 Å and the angles 90.00°, 90.00° and 90.00°. The distinct sites, in fractional coordinates, are Na at (0.000, 0.000, 0.000), In at (0.500, 0.500, 0.500) and As at (0.000, 0.500, 0.500).

=====

No. 2
Material: Na2InAs
Method: DFT, PBEsol
State: relaxed

The energy relative to the elements comes out at -181.9 meV/atom. The theoretical density comes out at 4.27 g/cm³.

The structure belongs to space group Fm-3m (No. 225); the cell edges are 7.157, 7.157 and 7.157 Å and the angles 90.00°, 90.00° and 90.00°. The distinct sites, in fractional coordinates, are Na at (0.250, 0.250, 0.250), In at (0.000, 0.000, 0.000) and As at (0.000, 0.000, 0.500).

=====

No. 3
Material: NaIn3As
Method: DFT, PBEsol
State: relaxed

The energy relative to the elements comes out at 738.7 meV/atom. The theoretical density comes out at 4.96 g/cm³.

The structure belongs to space group Pm-3m (No. 221); the cell edges are 5.292, 5.292 and 5.292 Å and the angles 90.00°, 90.00° and 90.00°. The distinct sites, in fractional coordinates, are Na at (0.000, 0.000, 0.000), In at (0.000, 0.000, 0.500) and As at (0.500, 0.500, 0.500).

=====

Please write out number 2 again, unchanged.
Material: Na2InAs
Method: DFT, PBEsol
State: relaxed

The energy relative to the elements comes out at -181.9 meV/atom. The theoretical density comes out at 4.27 g/cm³.

The structure belongs to space group Fm-3m (No. 225); the cell edges are 7.157, 7.157 and 7.157 Å and the angles 90.00°, 90.00° and 90.00°. The distinct sites, in fractional coordinates, are Na at (0.250, 0.250, 0.250), In at (0.000, 0.000, 0.000) and As at (0.000, 0.000, 0.500).